[1]
DFT (GGA-PBE) results for a relaxed K3Ac2HoSe6 crystal.

Cell and atoms, written as POSCAR:
```
K3Ac2HoSe6
1.0
-2.5698 0.9422 -7.2169
5.4580 -5.2474 1.5000
-6.4236 -3.8786 3.1617
K Ac Ho Se
3 2 1 6
direct
0.1676 0.8324 0.5000
0.8324 0.1676 0.5000
0.5000 0.5000 0.5000
0.3335 0.6665 0.0000
0.6665 0.3335 0.0000
0.0000 0.0000 0.0000
0.9290 0.6149 0.7871
0.7573 0.7573 0.2119
0.0710 0.3851 0.2129
0.6149 0.9290 0.7871
0.2427 0.2427 0.7881
0.3851 0.0710 0.2129
```

Symmetry = No. 12
Uncorrected formation energy = -1.785 eV per atom
Raw total energy = -58.42 eV per cell

[2]
DFT (GGA-PBE) results for a relaxed K4Ac3HoSe8 crystal.

Cell and atoms, written as POSCAR:
```
K4Ac3HoSe8
1.0
8.9763 0.0000 0.0000
0.0000 9.3040 0.2198
-4.4882 -4.4832 6.3512
K Ac Ho Se
4 3 1 8
direct
0.5000 0.0000 0.0000
0.5000 0.0000 0.5000
0.0000 0.0000 0.0000
0.0000 0.0000 0.5000
0.5000 0.5000 0.0000
0.5000 0.5000 0.5000
0.0000 0.5000 0.5000
0.0000 0.5000 0.0000
0.2282 0.7113 0.9833
0.2283 0.7114 0.4566
0.2595 0.2786 0.5190
0.7550 0.7113 0.9833
0.2450 0.2887 0.0167
0.7405 0.7214 0.4810
0.7717 0.2886 0.5434
0.7718 0.2887 0.0167
```

Symmetry = No. 166
Uncorrected formation energy = -1.787 eV per atom
Raw total energy = -77.76 eV per cell

Question: Which value of raw total energy does entry 2 give?
Answer: -77.76 eV per cell